Density functional theory data (PBE) for a geometry-optimized NdDy2Mg structure.

```
NdDy2Mg
1.0
3.682 0.000 0.000
0.000 3.682 0.000
0.000 0.000 8.961
Nd Dy Mg
1 2 1
Direct
0.000 0.000 0.000
0.500 0.500 0.278
0.500 0.500 0.722
0.000 0.000 0.500
```

Values from the calculation:
As for the space group: No. 123. For the offset from the most stable computed form, the calculation gives 0.03 eV/f.u. For the calculated density, the calculation gives 6.75 g cm⁻³.

***

Density functional theory data (PBE) for a geometry-optimized MgRhAu3 structure.

```
MgRhAu3
1.0
4.737 0.000 0.000
0.000 4.737 0.000
0.000 0.000 4.737
Mg Rh Au
1 1 3
Direct
0.000 0.000 0.000
0.500 0.500 0.500
0.000 0.000 0.500
0.000 0.500 0.000
0.500 0.000 0.000
```

Values from the calculation:
As for the space group: No. 221. For the offset from the most stable computed form, the calculation gives 4.98 eV/f.u. For the calculated density, the calculation gives 11.22 g cm⁻³.

***

Density functional theory data (PBE) for a geometry-optimized Nb2CoPd structure.

```
Nb2CoPd
1.0
2.809 0.000 0.000
-1.404 2.432 0.000
0.000 0.000 28.590
Nb Co Pd
6 3 3
Direct
0.000 0.000 0.092
0.000 0.000 0.908
0.333 0.667 0.575
0.333 0.667 0.759
0.667 0.333 0.241
0.667 0.333 0.425
0.000 0.000 0.500
0.333 0.667 0.167
0.667 0.333 0.833
0.000 0.000 0.000
0.333 0.667 0.667
0.667 0.333 0.333
```

Values from the calculation:
As for the space group: No. 166. For the offset from the most stable computed form, the calculation gives 1.95 eV/f.u. For the calculated density, the calculation gives 8.96 g cm⁻³.

***

Density functional theory data (PBE) for a geometry-optimized Ag2Ir2Os structure.

```
Ag2Ir2Os
1.0
6.347 0.000 0.000
0.000 6.347 0.000
0.000 0.000 4.433
Ag Ir Os
4 4 2
Direct
0.173 0.327 0.000
0.327 0.827 0.000
0.673 0.173 0.000
0.827 0.673 0.000
0.135 0.635 0.500
0.365 0.135 0.500
0.635 0.865 0.500
0.865 0.365 0.500
0.000 0.000 0.500
0.500 0.500 0.500
```

Values from the calculation:
As for the space group: No. 127. For the offset from the most stable computed form, the calculation gives 0.00 eV/f.u. For the calculated density, the calculation gives 14.70 g cm⁻³.

***

Density functional theory data (PBE) for a geometry-optimized PrSm3Dy5 structure.

```
PrSm3Dy5
1.0
7.654 -5.713 0.000
7.654 5.713 0.000
-6.414 0.000 7.602
Pr Sm Dy
2 6 10
Direct
0.248 0.248 0.409
0.752 0.752 0.591
0.000 0.000 0.000
0.020 0.020 0.360
0.493 0.493 0.188
0.500 0.500 0.500
0.507 0.507 0.812
0.980 0.980 0.640
0.101 0.602 0.251
0.225 0.225 0.045
0.258 0.742 0.000
0.279 0.279 0.777
0.398 0.899 0.749
0.602 0.101 0.251
0.721 0.721 0.223
0.742 0.258 0.000
0.775 0.775 0.955
0.899 0.398 0.749
```

Values from the calculation:
As for the space group: No. 12. For the offset from the most stable computed form, the calculation gives 3.03 eV/f.u. For the calculated density, the calculation gives 7.02 g cm⁻³.

***

Density functional theory data (PBE) for a geometry-optimized HfTaCr2Sb structure.

```
HfTaCr2Sb
1.0
4.514 0.000 0.000
0.000 4.514 0.000
0.000 0.000 5.271
Hf Ta Cr Sb
1 1 2 1
Direct
0.000 0.000 0.000
0.000 0.000 0.500
0.000 0.500 0.500
0.500 0.000 0.500
0.500 0.500 0.000
```

Values from the calculation:
As for the space group: No. 123. For the calculated density, the calculation gives 9.05 g cm⁻³. For the formation energy without anion corrections, the calculation gives 1.35 eV/atom.

***

no.,D(E_F) (states/eV per cell)
1,5.51
2,2.03
3,14.57
4,8.90
5,25.07
6,4.89